# 1
A plane-wave DFT calculation with GGA-PBE was carried out for a geometry-optimized MnPbBr2 structure.

a b c (Å): 6.819 6.819 6.819
angles (deg): 143.01 143.01 53.31
Last column: magnetic moment on the atom in μB.
Positions (direct):
1 Br 0.000 0.000 0.000  0.02
2 Br 0.250 0.750 0.500  0.03
3 Mn 0.500 0.500 0.000  4.40
4 Pb 0.750 0.250 0.500  -0.12

Calculated values
**Total DFT energy (no corrections)**: -3.980 eV per atom
**E_form (uncorrected)**: 0.08 eV per atom
**Symmetry**: No. 119
**Energy above the lowest structure with this stoichiometry**: 0.472 eV per atom
**Calculated density**: 6.1 g/cm³

***

# 2
A plane-wave DFT calculation with GGA-PBE was carried out for a geometry-optimized Pr6ZnIn3 structure.

a b c (Å): 5.457 9.486 12.109
angles (deg): 90.00 90.01 90.00
Positions (direct):
1 Pr 0.500 0.159 0.919
2 Pr 0.500 0.175 0.580
3 Pr 0.500 0.498 0.256
4 Pr 0.500 0.502 0.744
5 Pr 0.500 0.825 0.420
6 Pr 0.500 0.841 0.081
7 Pr 0.000 0.341 0.419
8 Pr 0.000 0.325 0.080
9 Pr 0.000 0.002 0.756
10 Pr 0.000 0.998 0.244
11 Pr 0.000 0.675 0.920
12 Pr 0.000 0.659 0.581
13 Zn 0.500 0.500 0.500
14 Zn 0.000 0.000 0.000
15 In 0.500 0.835 0.745
16 In 0.500 0.500 0.000
17 In 0.500 0.165 0.255
18 In 0.000 0.665 0.245
19 In 0.000 0.000 0.500
20 In 0.000 0.335 0.755

Calculated values
**Total DFT energy (no corrections)**: -4.087 eV per atom
**Symmetry**: No. 58
**Energy above the lowest structure with this stoichiometry**: 0.069 eV per atom
**Calculated density**: 6.7 g/cm³
**Energy relative to the elements**: -2.71 eV per formula unit

***

# 3
A plane-wave DFT calculation with GGA-PBE was carried out for a geometry-optimized ZnCrPb3 structure.

a b c (Å): 5.210 5.210 5.210
angles (deg): 90.00 90.00 90.00
Positions (direct):
1 Pb 0.000 0.500 0.000
2 Pb 0.000 0.000 0.500
3 Pb 0.500 0.000 0.000
4 Cr 0.000 0.000 0.000
5 Zn 0.500 0.500 0.500

Calculated values
**Total DFT energy (no corrections)**: -3.950 eV per atom
**Symmetry**: No. 221
**Energy above the lowest structure with this stoichiometry**: 0.000 eV per atom
**Calculated density**: 8.7 g/cm³
**Energy relative to the elements**: 2.27 eV per formula unit

***

# 4
A plane-wave DFT calculation with GGA-PBE was carried out for a geometry-optimized CeSc2Tl structure.

a b c (Å): 5.140 5.140 5.140
angles (deg): 60.00 60.00 60.00
Last column: magnetic moment on the atom in μB.
Positions (direct):
1 Sc 0.250 0.250 0.250  0.23
2 Sc 0.750 0.750 0.750  0.23
3 Tl 0.500 0.500 0.500  -0.01
4 Ce 0.000 0.000 0.000  0.24

Calculated values
**Total DFT energy (no corrections)**: -5.260 eV per atom
**Symmetry**: No. 225
**Energy above the lowest structure with this stoichiometry**: 0.107 eV per atom
**Calculated density**: 7.5 g/cm³
**Energy relative to the elements**: -0.08 eV per formula unit

***

# 5
A plane-wave DFT calculation with GGA-PBE was carried out for a geometry-optimized NpIn2Se6 structure.

a b c (Å): 7.600 8.441 8.441
angles (deg): 87.11 89.84 89.84
Last column: magnetic moment on the atom in μB.
Positions (direct):
1 Np 0.250 0.097 0.903  3.34
2 Np 0.750 0.903 0.097  3.34
3 In 0.089 0.576 0.746  0.01
4 In 0.411 0.254 0.424  0.01
5 In 0.911 0.424 0.254  0.01
6 In 0.589 0.746 0.576  0.01
7 Se 0.244 0.722 0.481  0.01
8 Se 0.256 0.519 0.278  0.01
9 Se 0.756 0.278 0.519  0.01
10 Se 0.744 0.481 0.722  0.01
11 Se 0.836 0.890 0.417  -0.09
12 Se 0.664 0.583 0.110  -0.09
13 Se 0.164 0.110 0.583  -0.09
14 Se 0.336 0.417 0.890  -0.09
15 Se 0.059 0.812 0.939  -0.10
16 Se 0.441 0.061 0.188  -0.10
17 Se 0.941 0.188 0.061  -0.10
18 Se 0.559 0.939 0.812  -0.10

Calculated values
**Total DFT energy (no corrections)**: -4.864 eV per atom
**E_form (uncorrected)**: -0.49 eV per atom
**Symmetry**: No. 15
**Calculated density**: 5.8 g/cm³

***

# 6
A plane-wave DFT calculation with GGA-PBE was carried out for a geometry-optimized Ce2Sn4Pt3Rh structure.

a b c (Å): 4.573 4.573 10.763
angles (deg): 90.00 90.00 90.00
Last column: magnetic moment on the atom in μB.
Positions (direct):
1 Ce 0.500 0.000 0.259  0.87
2 Ce 0.000 0.500 0.741  0.87
3 Sn 0.500 0.500 0.000  0.00
4 Sn 0.000 0.000 0.000  0.00
5 Sn 0.500 0.000 0.627  0.00
6 Sn 0.000 0.500 0.373  0.00
7 Pt 0.000 0.000 0.500  0.01
8 Pt 0.500 0.000 0.868  -0.01
9 Pt 0.000 0.500 0.132  -0.01
10 Rh 0.500 0.500 0.500  0.02

Calculated values
**Total DFT energy (no corrections)**: -6.101 eV per atom
**Symmetry**: No. 115
**Calculated density**: 10.6 g/cm³
**Energy relative to the elements**: -7.65 eV per formula unit

***

# 7
A plane-wave DFT calculation with GGA-PBE was carried out for a geometry-optimized Mg2CuReW structure.

a b c (Å): 5.058 4.558 5.058
angles (deg): 90.00 90.00 90.00
Last column: magnetic moment on the atom in μB.
Positions (direct):
1 Re 0.500 0.500 0.500  3.09
2 Mg 0.000 0.000 0.500  -0.02
3 Mg 0.500 0.000 0.000  -0.03
4 Cu 0.000 0.500 0.000  0.01
5 W 0.000 0.000 0.000  -0.16

Calculated values
**Total DFT energy (no corrections)**: -4.284 eV per atom
**Symmetry**: No. 123
**Calculated density**: 6.9 g/cm³
**Energy relative to the elements**: 11.27 eV per formula unit

***

# 8
A plane-wave DFT calculation with GGA-PBE was carried out for a geometry-optimized La3Ce2Ge3 structure.

a b c (Å): 6.397 9.081 9.081
angles (deg): 120.00 90.00 90.00
Last column: magnetic moment on the atom in μB.
Positions (direct):
1 La 0.750 0.263 0.000  0.18
2 La 0.750 0.737 0.737  0.18
3 La 0.750 0.000 0.263  0.18
4 La 0.250 0.737 0.000  0.18
5 La 0.250 0.263 0.263  0.18
6 La 0.250 0.000 0.737  0.18
7 Ce 0.000 0.333 0.667  0.97
8 Ce 0.500 0.667 0.333  0.97
9 Ce 0.000 0.667 0.333  0.97
10 Ce 0.500 0.333 0.667  0.97
11 Ge 0.750 0.614 0.000  -0.04
12 Ge 0.750 0.386 0.386  -0.04
13 Ge 0.750 0.000 0.614  -0.04
14 Ge 0.250 0.386 0.000  -0.04
15 Ge 0.250 0.614 0.614  -0.04
16 Ge 0.250 0.000 0.386  -0.04

Calculated values
**Total DFT energy (no corrections)**: -5.736 eV per atom
**Symmetry**: No. 193
**Calculated density**: 6.7 g/cm³
**Energy relative to the elements**: -5.39 eV per formula unit

***

# 9
A plane-wave DFT calculation with GGA-PBE was carried out for a geometry-optimized Mn2B2Mo structure.

a b c (Å): 5.886 5.886 2.771
angles (deg): 90.00 90.00 90.00
Positions (direct):
1 Mo 0.000 0.000 0.000
2 Mo 0.500 0.500 0.000
3 Mn 0.159 0.659 0.500
4 Mn 0.659 0.841 0.500
5 Mn 0.841 0.341 0.500
6 Mn 0.341 0.159 0.500
7 B 0.381 0.881 0.000
8 B 0.881 0.619 0.000
9 B 0.619 0.119 0.000
10 B 0.119 0.381 0.000

Calculated values
**Total DFT energy (no corrections)**: -8.726 eV per atom
**Symmetry**: No. 127
**Calculated density**: 7.9 g/cm³
**Energy relative to the elements**: -1.10 eV per formula unit

***

# 10
A plane-wave DFT calculation with GGA-PBE was carried out for a geometry-optimized AlTcNi2 structure.

a b c (Å): 4.456 4.456 4.456
angles (deg): 130.20 130.20 73.09
Last column: magnetic moment on the atom in μB.
Positions (direct):
1 Ni 0.000 0.000 0.000  0.27
2 Ni 0.500 0.500 0.000  0.27
3 Tc 0.250 0.750 0.500  0.73
4 Al 0.750 0.250 0.500  -0.01

Calculated values
**Total DFT energy (no corrections)**: -6.607 eV per atom
**Symmetry**: No. 139
**Calculated density**: 8.0 g/cm³
**Energy relative to the elements**: -0.76 eV per formula unit

***

# 11
A plane-wave DFT calculation with GGA-PBE was carried out for a geometry-optimized Ni6SnC structure.

a b c (Å): 4.656 4.656 4.659
angles (deg): 80.04 80.04 99.98
Positions (direct):
1 Ni 0.090 0.717 0.283
2 Ni 0.717 0.090 0.283
3 Ni 0.283 0.910 0.717
4 Ni 0.910 0.283 0.717
5 Ni 0.283 0.283 0.090
6 Ni 0.717 0.717 0.910
7 Sn 0.500 0.500 0.500
8 C 0.000 0.000 0.000

Calculated values
**Total DFT energy (no corrections)**: -5.943 eV per atom
**Symmetry**: No. 166
**Calculated density**: 8.4 g/cm³
**Energy relative to the elements**: 0.37 eV per formula unit

***

# 12
A plane-wave DFT calculation with GGA-PBE was carried out for a geometry-optimized BaIrRu structure.

a b c (Å): 4.699 4.699 4.699
angles (deg): 60.00 60.00 60.00
Last column: magnetic moment on the atom in μB.
Positions (direct):
1 Ba 0.000 0.000 0.000  0.02
2 Ir 0.500 0.500 0.500  0.93
3 Ru 0.250 0.250 0.250  1.34

Calculated values
**Total DFT energy (no corrections)**: -5.670 eV per atom
**Symmetry**: No. 216
**Energy above the lowest structure with this stoichiometry**: 0.863 eV per atom
**Calculated density**: 9.7 g/cm³
**Energy relative to the elements**: 3.05 eV per formula unit

***

- Which value of total DFT energy (no corrections) does entry 4 give?
  -5.260 eV per atom